Record 1
Ho2PaTa | PBE | relaxed

- Calculated volume: 25.54 Å³/atom
- Energy relative to the elements: 0.58 eV/atom
- Size of the total moment: 0.390 μB per formula unit
- DOS(E_F): 20.27 states/eV/cell

CIF file:
```
data_Ho2PaTa
_chemical_formula_sum 'Ho6 Pa3 Ta3'
_cell_length_a 3.2021
_cell_length_b 3.2021
_cell_length_c 34.5125
_cell_angle_alpha 90.00
_cell_angle_beta 90.00
_cell_angle_gamma 120.00
_symmetry_space_group_name_H-M 'R -3 m'
_symmetry_Int_Tables_number 166
_symmetry_space_group_name_Hall '-R 3 2"'
loop_
_atom_site_label
_atom_site_fract_x
_atom_site_fract_y
_atom_site_fract_z
Ho1 0.0000 0.0000 0.0852
Pa1 0.0000 0.0000 0.5000
Ta1 0.0000 0.0000 0.0000
```



Record 2
TbHoPa4 | PBE | relaxed

- Calculated volume: 27.42 Å³/atom
- Energy relative to the elements: 0.23 eV/atom
- Size of the total moment: 0.002 μB per formula unit
- DOS(E_F): 66.58 states/eV/cell

CIF file:
```
data_TbHoPa4
_chemical_formula_sum 'Tb4 Ho4 Pa16'
_cell_length_a 8.698
_cell_length_b 8.698
_cell_length_c 8.698
_cell_angle_alpha 90.00
_cell_angle_beta 90.00
_cell_angle_gamma 90.00
_symmetry_space_group_name_H-M 'F -4 3 m'
_symmetry_Int_Tables_number 216
_symmetry_space_group_name_Hall 'F -4 2 3'
loop_
_atom_site_label
_atom_site_fract_x
_atom_site_fract_y
_atom_site_fract_z
Tb1 0.000 0.000 0.000
Ho1 0.250 0.250 0.250
Pa1 0.125 0.125 0.625
```



Record 3
HoPaTc2 | PBE | relaxed

- Energy above the most stable polymorph in this dataset: 55 meV/atom
- Calculated volume: 19.97 Å³/atom
- Energy relative to the elements: -0.17 eV/atom
- Size of the total moment: 0.000 μB per formula unit
- DOS(E_F): 9.94 states/eV/cell

CIF file:
```
data_HoPaTc2
_chemical_formula_sum 'Ho4 Pa4 Tc8'
_cell_length_a 6.837
_cell_length_b 6.837
_cell_length_c 6.837
_cell_angle_alpha 90.00
_cell_angle_beta 90.00
_cell_angle_gamma 90.00
_symmetry_space_group_name_H-M 'F m -3 m'
_symmetry_Int_Tables_number 225
_symmetry_space_group_name_Hall '-F 4 2 3'
loop_
_atom_site_label
_atom_site_fract_x
_atom_site_fract_y
_atom_site_fract_z
Ho1 0.000 0.000 0.000
Pa1 0.000 0.000 0.500
Tc1 0.250 0.250 0.250
```



Record 4
HoPaTc | PBE | relaxed

- Energy above the most stable polymorph in this dataset: 56 meV/atom
- Calculated volume: 24.47 Å³/atom
- Energy relative to the elements: -0.10 eV/atom
- Size of the total moment: 0.000 μB per formula unit
- DOS(E_F): 16.32 states/eV/cell

CIF file:
```
data_HoPaTc
_chemical_formula_sum 'Ho4 Pa4 Tc4'
_cell_length_a 8.097
_cell_length_b 5.363
_cell_length_c 6.761
_cell_angle_alpha 90.00
_cell_angle_beta 90.00
_cell_angle_gamma 90.00
_symmetry_space_group_name_H-M 'P n m a'
_symmetry_Int_Tables_number 62
loop_
_symmetry_equiv_pos_as_xyz
'x,y,z'
'-x,-y,-z'
'-x+1/2,-y,z+1/2'
'x+1/2,y,-z+1/2'
'x+1/2,-y+1/2,-z+1/2'
'-x+1/2,y+1/2,z+1/2'
'-x,y+1/2,-z'
'x,-y+1/2,z'
loop_
_atom_site_label
_atom_site_fract_x
_atom_site_fract_y
_atom_site_fract_z
Ho1 0.058 0.250 0.172
Pa1 0.204 0.250 0.669
Tc1 0.091 0.750 0.444
```



Record 5
HoPaTc2 | PBE | relaxed

- Energy above the most stable polymorph in this dataset: 633 meV/atom
- Calculated volume: 22.43 Å³/atom
- Energy relative to the elements: 0.41 eV/atom
- Size of the total moment: 0.000 μB per formula unit
- DOS(E_F): 12.54 states/eV/cell

CIF file:
```
data_HoPaTc2
_chemical_formula_sum 'Ho3 Pa3 Tc6'
_cell_length_a 3.3462
_cell_length_b 3.3462
_cell_length_c 27.7564
_cell_angle_alpha 90.00
_cell_angle_beta 90.00
_cell_angle_gamma 120.00
_symmetry_space_group_name_H-M 'R -3 m'
_symmetry_Int_Tables_number 166
_symmetry_space_group_name_Hall '-R 3 2"'
loop_
_atom_site_label
_atom_site_fract_x
_atom_site_fract_y
_atom_site_fract_z
Ho1 0.0000 0.0000 0.0000
Pa1 0.0000 0.0000 0.5000
Tc1 0.0000 0.0000 0.1015
```



Record 6
Ho3PaTc2 | PBE | relaxed

- Calculated volume: 25.63 Å³/atom
- Energy relative to the elements: -0.01 eV/atom
- Size of the total moment: 0.000 μB per formula unit
- DOS(E_F): 27.05 states/eV/cell

CIF file:
```
data_Ho3PaTc2
_chemical_formula_sum 'Ho12 Pa4 Tc8'
_cell_length_a 17.226
_cell_length_b 3.719
_cell_length_c 12.008
_cell_angle_alpha 90.00
_cell_angle_beta 126.92
_cell_angle_gamma 90.00
_symmetry_space_group_name_H-M 'C 1 2/m 1'
_symmetry_Int_Tables_number 12
loop_
_symmetry_equiv_pos_as_xyz
'x,y,z'
'-x,-y,-z'
'-x,y,-z'
'x,-y,z'
'x+1/2,y+1/2,z'
'-x+1/2,-y+1/2,-z'
'-x+1/2,y+1/2,-z'
'x+1/2,-y+1/2,z'
loop_
_atom_site_label
_atom_site_fract_x
_atom_site_fract_y
_atom_site_fract_z
Ho1 0.046 0.000 0.270
Ho2 0.119 0.500 0.037
Ho3 0.240 0.000 0.611
Pa1 0.136 0.500 0.737
Tc1 0.080 0.500 0.497
Tc2 0.177 0.000 0.916
```